## LaDyHfN3 (GGA-PBE)

Data for a relaxed structure of LaDyHfN3. Values from VASP.

Output
The calculation puts the raw formation energy at -1.313 eV per atom.

Quantum ESPRESSO input file:
```
&SYSTEM
  ibrav = 0, nat = 12, ntyp = 4
/
ATOMIC_SPECIES
La 138.91 La.upf
Dy 162.50 Dy.upf
Hf 178.49 Hf.upf
N 14.01 N.upf
CELL_PARAMETERS angstrom
6.672 0.000 0.000
0.000 3.416 0.000
-0.636 0.000 9.771
ATOMIC_POSITIONS crystal
La 0.178 0.250 0.223
La 0.822 0.750 0.777
Dy 0.351 0.750 0.882
Dy 0.649 0.250 0.118
Hf 0.170 0.250 0.579
Hf 0.830 0.750 0.421
N 0.138 0.250 0.788
N 0.151 0.750 0.453
N 0.377 0.750 0.114
N 0.623 0.250 0.886
N 0.849 0.250 0.547
N 0.862 0.750 0.212
```